Below is an optimized crystal structure of Pu2HfNpAs4, with properties calculated at the PBE level.

abc: 7.0045 4.0315 7.0105
angles: 90.00 109.23 90.00
With the nearest neighbours (Å) after each atom.
Positions (direct):
Pu 0.0000 0.0000 0.0000  6 As 2.87
Pu 0.5000 0.5000 0.0000  6 As 2.94-2.96
Hf 0.0000 0.5000 0.5000  6 As 2.76-2.78
Np 0.5000 0.0000 0.5000  6 As 2.85
As 0.2373 0.0000 0.7356  2 Hf 2.78, 1 Np 2.85, 3 Pu 2.87-2.94
As 0.2423 0.5000 0.2600  1 Hf 2.76, 2 Np 2.85, 3 Pu 2.87-2.96
As 0.7577 0.5000 0.7400  1 Hf 2.76, 2 Np 2.85, 3 Pu 2.87-2.96
As 0.7627 0.0000 0.2644  2 Hf 2.78, 1 Np 2.85, 3 Pu 2.87-2.94

DFT formation energy   -0.9430 eV/atom
E   -9.712 eV/atom